No. 1
VASP calculation (GGA-PBE) on a relaxed V2FeBiSb crystal.

Cell and atoms, written as extended XYZ:
```
5
Lattice="-2.694 3.727 0.724 -2.665 -2.535 3.129 2.795 1.346 3.471" Properties=species:S:1:pos:R:3 pbc="T T T"
Sb -1.282 1.269 3.662
Fe 0.000 0.000 0.000
V -1.347 1.863 0.362
V 1.397 0.673 1.736
Bi -1.333 -1.268 1.564
```

## Properties
For the total magnetization, the calculation gives 3.4 μB per cell. As for the total energy: -6.227 eV per atom. The space group is P4/mmm, No. 123.



No. 2
VASP calculation (GGA-PBE) on a relaxed Fe2BiSbW crystal.

Cell and atoms, written as extended XYZ:
```
5
Lattice="4.599 0.000 0.000 0.000 5.364 0.000 0.000 0.000 4.599" Properties=species:S:1:pos:R:3 pbc="T T T"
Fe 2.300 0.000 0.000
Fe 0.000 0.000 2.300
W 0.000 0.000 0.000
Bi 0.000 2.682 0.000
Sb 2.300 2.682 2.300
```

## Properties
For the total magnetization, the calculation gives 0.2 μB per cell. As for the total energy: -6.084 eV per atom. The space group is P4/mmm, No. 123.



No. 3
VASP calculation (GGA-PBE) on a relaxed ZnFeBiSb2 crystal.

Cell and atoms, written as extended XYZ:
```
5
Lattice="5.262 0.000 0.000 0.000 4.543 0.000 0.000 0.000 5.262" Properties=species:S:1:pos:R:3 pbc="T T T"
Sb 0.000 0.000 2.631
Sb 2.631 0.000 0.000
Fe 0.000 2.272 0.000
Zn 0.000 0.000 0.000
Bi 2.631 2.272 2.631
```

## Properties
For the total magnetization, the calculation gives 0.1 μB per cell. As for the total energy: -3.479 eV per atom. The space group is P4/mmm, No. 123.



No. 4
VASP calculation (GGA-PBE) on a relaxed Sc2FeBi2 crystal.

Cell and atoms, written as extended XYZ:
```
10
Lattice="-4.582 -4.672 -2.551 3.985 -0.778 -5.732 2.277 -3.345 2.037" Properties=species:S:1:pos:R:3 pbc="T T T"
Sc 0.231 -3.380 -0.771
Sc 1.449 -5.416 -5.475
Sc 3.034 -2.942 -3.185
Sc -1.355 -5.854 -3.061
Bi -2.385 -3.192 -2.575
Bi -1.245 -4.450 -5.916
Bi 0.648 -1.000 -2.367
Bi 1.788 -2.259 -5.707
Fe -0.299 -2.725 -4.141
Fe 0.000 0.000 0.000
```

## Properties
For the total magnetization, the calculation gives 0.0 μB per cell. The space group is P4/mbm, No. 127. For the formation energy, the calculation gives -22 meV/atom.



No. 5
VASP calculation (GGA-PBE) on a relaxed ScFeBi2 crystal.

Cell and atoms, written as extended XYZ:
```
4
Lattice="0.000 3.516 3.516 3.516 0.000 3.516 3.516 3.516 0.000" Properties=species:S:1:pos:R:3 pbc="T T T"
Bi 5.274 5.274 5.274
Bi 1.758 1.758 1.758
Sc 0.000 0.000 0.000
Fe 3.516 3.516 3.516
```

## Properties
For the total magnetization, the calculation gives 0.0 μB per cell. The calculation puts the excess energy over the best structure of this formula in the dataset at 16 meV per atom. The space group is Fm-3m, No. 225. For the formation energy, the calculation gives 262 meV/atom.



No. 6
VASP calculation (GGA-PBE) on a relaxed ScFeBi3 crystal.

Cell and atoms, written as extended XYZ:
```
5
Lattice="-3.913 -3.931 -0.281 3.267 -3.458 2.866 -2.204 1.855 4.749" Properties=species:S:1:pos:R:3 pbc="T T T"
Sc 0.000 0.000 0.000
Bi 1.633 -1.729 1.433
Bi -1.102 0.927 2.374
Bi -1.957 -1.965 -0.140
Fe -1.425 -2.767 3.667
```

## Properties
For the total magnetization, the calculation gives 3.5 μB per cell. The calculation puts the excess energy over the best structure of this formula in the dataset at 431 meV per atom. The space group is Pm-3m, No. 221. For the formation energy, the calculation gives 807 meV/atom.